Record 1
A geometry-optimized Sm3GaCu2 structure. Source: Alexandria via LeMat-Bulk, functional PBE.

```
Sm3GaCu2
1.0
3.5488 0.0000 0.0000
0.0000 3.5488 0.0000
0.0000 0.0000 10.9577
Sm Ga Cu
3 1 2
Direct
0.0000 0.0000 0.0000 Sm
0.0000 0.0000 0.3268 Sm
0.0000 0.0000 0.6732 Sm
0.5000 0.5000 0.5000 Ga
0.5000 0.5000 0.1619 Cu
0.5000 0.5000 0.8381 Cu
```

Results
* space group: P4/mmm (123)
* E_tot: -4.5318 eV/atom
* density: 7.80 Mg/m³

---

Record 2
A geometry-optimized Sm2Ga5Cu2 structure. Source: Alexandria via LeMat-Bulk, functional PBE.

```
Sm2Ga5Cu2
1.0
4.2246 0.0000 0.0000
0.0000 4.2246 0.0000
0.0000 0.0000 9.6000
Sm Ga Cu
2 5 2
Direct
0.0000 0.0000 0.0000 Sm
0.0000 0.0000 0.5000 Sm
0.0000 0.5000 0.2380 Ga
0.0000 0.5000 0.7620 Ga
0.5000 0.0000 0.2380 Ga
0.5000 0.0000 0.7620 Ga
0.5000 0.5000 0.0000 Ga
0.5000 0.5000 0.3776 Cu
0.5000 0.5000 0.6224 Cu
```

Results
* space group: P4/mmm (123)
* E_tot: -4.0578 eV/atom
* density: 7.52 Mg/m³

---

Record 3
A geometry-optimized SmGa2Cu structure. Source: Alexandria via LeMat-Bulk, functional PBE.

```
SmGa2Cu
1.0
4.2429 0.0000 0.0000
0.0000 4.2429 0.0000
0.0000 0.0000 4.3316
Sm Ga Cu
1 2 1
Direct
0.0000 0.0000 0.0000 Sm
0.0000 0.5000 0.5000 Ga
0.5000 0.0000 0.5000 Ga
0.5000 0.5000 0.0000 Cu
```

Results
* space group: P4/mmm (123)
* E_tot: -4.0381 eV/atom
* density: 7.52 Mg/m³

---

Record 4
A geometry-optimized Sm3GaCu structure. Source: Alexandria via LeMat-Bulk, functional PBE.

```
Sm3GaCu
1.0
6.1821 -4.1086 0.0000
6.1821 4.1086 0.0000
-5.6716 0.0000 10.9897
Sm Ga Cu
12 4 4
Direct
0.0220 0.2841 0.7676 Sm
0.1412 0.7494 0.9503 Sm
0.2506 0.8588 0.5497 Sm
0.2674 0.4161 0.6097 Sm
0.2841 0.0220 0.2676 Sm
0.4161 0.2674 0.1097 Sm
0.5839 0.7326 0.8903 Sm
0.7159 0.9780 0.7324 Sm
0.7326 0.5839 0.3903 Sm
0.7494 0.1412 0.4503 Sm
0.8588 0.2506 0.0497 Sm
0.9780 0.7159 0.2324 Sm
0.3494 0.4451 0.3743 Ga
0.4451 0.3494 0.8743 Ga
0.5549 0.6506 0.1257 Ga
0.6506 0.5549 0.6257 Ga
0.0000 0.5000 0.0000 Cu
0.1475 0.8525 0.7500 Cu
0.5000 0.0000 0.5000 Cu
0.8525 0.1475 0.2500 Cu
```

Results
* space group: C2/c (15)
* E_tot: -4.3818 eV/atom
* density: 6.95 Mg/m³

---

Record 5
A geometry-optimized Sm8Ga2Cu structure. Source: Alexandria via LeMat-Bulk, functional PBE.

```
Sm8Ga2Cu
1.0
9.3471 -2.5237 0.0000
9.3471 2.5237 0.0000
-1.5127 0.0000 6.5764
Sm Ga Cu
8 2 1
Direct
0.0204 0.0204 0.2777 Sm
0.2081 0.2081 0.8117 Sm
0.3447 0.3447 0.5222 Sm
0.4073 0.4073 0.0344 Sm
0.5927 0.5927 0.9656 Sm
0.6553 0.6553 0.4778 Sm
0.7919 0.7919 0.1883 Sm
0.9796 0.9796 0.7223 Sm
0.1859 0.1859 0.2514 Ga
0.8141 0.8141 0.7486 Ga
0.5000 0.5000 0.5000 Cu
```

Results
* space group: C2/m (12)
* E_tot: -4.5737 eV/atom
* density: 7.52 Mg/m³

---

Record 6
A geometry-optimized SmGa4Cu structure. Source: Alexandria via LeMat-Bulk, functional PBE.

```
SmGa4Cu
1.0
5.4298 -2.9626 0.0000
5.4298 2.9626 0.0000
-0.9576 0.0000 7.5366
Sm Ga Cu
2 8 2
Direct
0.1223 0.8777 0.7500 Sm
0.8777 0.1223 0.2500 Sm
0.1432 0.4428 0.3537 Ga
0.3086 0.6094 0.0901 Ga
0.3906 0.6914 0.4099 Ga
0.4428 0.1432 0.8537 Ga
0.5572 0.8568 0.1463 Ga
0.6094 0.3086 0.5901 Ga
0.6914 0.3906 0.9099 Ga
0.8568 0.5572 0.6463 Ga
0.0000 0.5000 0.0000 Cu
0.5000 0.0000 0.5000 Cu
```

Results
* space group: C2/c (15)
* E_tot: -3.7080 eV/atom
* density: 6.75 Mg/m³